Compound: Rb3HfSc3Se8
Source: the Alexandria database
Functional: GGA-PBE
Structure: relaxed

Computed properties:
**Energy relative to the elements, uncorrected**: -1.570 eV/atom
**V**: 439.2 Å³ per cell
**SG**: R-3m
**Spin magnetization**: 0.00 μB per cell

a b c (Å): 9.3064 9.3064 9.3064
angles (deg): 50.29 50.29 50.29
With the nearest neighbours (Å) after each atom.
Sites, in units of the cell vectors:
Rb: 0.0000 0.5000 0.5000  6 Se 3.42
Rb: 0.5000 0.0000 0.5000  6 Se 3.42
Rb: 0.5000 0.5000 0.0000  6 Se 3.42
Hf: 0.5000 0.5000 0.5000  6 Se 2.71
Sc: 0.0000 0.0000 0.5000  6 Se 2.73-2.74
Sc: 0.0000 0.5000 0.0000  6 Se 2.73-2.74
Sc: 0.5000 0.0000 0.0000  6 Se 2.73-2.74
Se: 0.2284 0.2284 0.2284  3 Sc 2.73
Se: 0.2318 0.7267 0.7267  1 Hf 2.71, 2 Sc 2.74
Se: 0.2733 0.2733 0.7682  1 Hf 2.71, 2 Sc 2.74
Se: 0.2733 0.7682 0.2733  1 Hf 2.71, 2 Sc 2.74
Se: 0.7267 0.2318 0.7267  1 Hf 2.71, 2 Sc 2.74
Se: 0.7267 0.7267 0.2318  1 Hf 2.71, 2 Sc 2.74
Se: 0.7682 0.2733 0.2733  1 Hf 2.71, 2 Sc 2.74
Se: 0.7716 0.7716 0.7716  3 Sc 2.73

***

Compound: Rb3HfSc3Te8
Source: the Alexandria database
Functional: GGA-PBE
Structure: relaxed

Computed properties:
**Energy relative to the elements, uncorrected**: -1.166 eV/atom
**V**: 541.8 Å³ per cell
**SG**: R-3m
**Spin magnetization**: 0.00 μB per cell

a b c (Å): 9.9890 9.9890 9.9890
angles (deg): 50.21 50.21 50.21
With the nearest neighbours (Å) after each atom.
Sites, in units of the cell vectors:
Rb: 0.0000 0.5000 0.5000  6 Te 3.64-3.65
Rb: 0.5000 0.0000 0.5000  6 Te 3.64-3.65
Rb: 0.5000 0.5000 0.0000  6 Te 3.64-3.65
Hf: 0.5000 0.5000 0.5000  6 Te 2.94
Sc: 0.0000 0.0000 0.5000  6 Te 2.95-2.96
Sc: 0.0000 0.5000 0.0000  6 Te 2.95-2.96
Sc: 0.5000 0.0000 0.0000  6 Te 2.95-2.96
Te: 0.2298 0.2298 0.2298  3 Sc 2.95
Te: 0.2318 0.7286 0.7286  1 Hf 2.94, 2 Sc 2.96
Te: 0.2714 0.2714 0.7682  1 Hf 2.94, 2 Sc 2.96
Te: 0.2714 0.7682 0.2714  1 Hf 2.94, 2 Sc 2.96
Te: 0.7286 0.2318 0.7286  1 Hf 2.94, 2 Sc 2.96
Te: 0.7286 0.7286 0.2318  1 Hf 2.94, 2 Sc 2.96
Te: 0.7682 0.2714 0.2714  1 Hf 2.94, 2 Sc 2.96
Te: 0.7702 0.7702 0.7702  3 Sc 2.95

***

Compound: Rb2Hf2ScTe6
Source: the Alexandria database
Functional: GGA-PBE
Structure: relaxed

Computed properties:
**Energy relative to the elements, uncorrected**: -1.022 eV/atom
**V**: 393.9 Å³ per cell
**SG**: C2/m
**Spin magnetization**: 0.00 μB per cell

a b c (Å): 7.1632 7.1632 9.1815
angles (deg): 97.45 97.45 120.04
With the nearest neighbours (Å) after each atom.
Sites, in units of the cell vectors:
Rb: 0.1650 0.8350 0.0000  6 Te 3.63-3.64
Rb: 0.8350 0.1650 0.0000  6 Te 3.63-3.64
Hf: 0.3317 0.6683 0.5000  6 Te 2.91-2.93
Hf: 0.6683 0.3317 0.5000  6 Te 2.91-2.93
Sc: 0.0000 0.0000 0.5000  6 Te 2.94-2.97
Te: 0.0669 0.4004 0.6920  2 Hf 2.91-2.93, 1 Sc 2.94
Te: 0.2770 0.2770 0.3092  2 Hf 2.92, 1 Sc 2.97
Te: 0.4004 0.0669 0.6920  2 Hf 2.91-2.93, 1 Sc 2.94
Te: 0.5996 0.9331 0.3080  2 Hf 2.91-2.93, 1 Sc 2.94
Te: 0.7230 0.7230 0.6908  2 Hf 2.92, 1 Sc 2.97
Te: 0.9331 0.5996 0.3080  2 Hf 2.91-2.93, 1 Sc 2.94

***

Compound: Rb4HfSc3Te8
Source: the Alexandria database
Functional: GGA-PBE
Structure: relaxed

Computed properties:
**Energy relative to the elements, uncorrected**: -1.141 eV/atom
**V**: 546.6 Å³ per cell
**SG**: R-3m
**Spin magnetization**: 0.00 μB per cell

a b c (Å): 9.8705 9.8705 9.8705
angles (deg): 51.66 51.66 51.66
With the nearest neighbours (Å) after each atom.
Sites, in units of the cell vectors:
Rb: 0.0000 0.0000 0.0000  6 Te 3.64
Rb: 0.0000 0.5000 0.5000  6 Te 3.61-3.62
Rb: 0.5000 0.0000 0.5000  6 Te 3.61-3.62
Rb: 0.5000 0.5000 0.0000  6 Te 3.61-3.62
Hf: 0.5000 0.5000 0.5000  6 Te 2.95
Sc: 0.0000 0.0000 0.5000  6 Te 2.97-2.98
Sc: 0.0000 0.5000 0.0000  6 Te 2.97-2.98
Sc: 0.5000 0.0000 0.0000  6 Te 2.97-2.98
Te: 0.2303 0.2303 0.2303  3 Sc 2.97
Te: 0.2342 0.7284 0.7284  1 Hf 2.95, 2 Sc 2.98
Te: 0.2716 0.2716 0.7658  1 Hf 2.95, 2 Sc 2.98
Te: 0.2716 0.7658 0.2716  1 Hf 2.95, 2 Sc 2.98
Te: 0.7284 0.2342 0.7284  1 Hf 2.95, 2 Sc 2.98
Te: 0.7284 0.7284 0.2342  1 Hf 2.95, 2 Sc 2.98
Te: 0.7658 0.2716 0.2716  1 Hf 2.95, 2 Sc 2.98
Te: 0.7697 0.7697 0.7697  3 Sc 2.97

***

Question: What is the spin magnetization in the second record?
Answer: 0.00 μB per cell

***

Question: What is the spin magnetization in the first record?
Answer: 0.00 μB per cell

***

Question: Among the records above, which one has the highest V?
Answer: Rb4HfSc3Te8